No. 1
MnRe2Ni: relaxed, PBE.

Unit cell a=8.7119 b=2.6933 c=4.6498 alpha=90.00 beta=99.97 gamma=90.00
Space group C2/m (No. 12)
One atom of each set of equivalent atoms:
Mn 0.0000 0.0000 0.0000 (multiplicity 2)
Re 0.2483 0.0000 0.7490 (multiplicity 4)
Ni 0.0000 0.5000 0.5000 (multiplicity 2)

Total moment   0.509 μB/atom
Formation enthalpy at 0 K   0.110 eV/atom
Crystal system   monoclinic
DOS(E_F)   1.103 states/eV/atom
VASP energy   -9.8518 eV/atom
E above lowest polymorph   92 meV/atom

No. 2
AgSe: relaxed, PBE.

Unit cell a=2.9377 b=4.2702 c=7.1074 alpha=90.00 beta=90.00 gamma=90.00
Space group Pmmn (No. 59, origin choice 2)
One atom of each set of equivalent atoms:
Ag 0.2500 0.2500 0.1322 (multiplicity 2)
Se 0.2500 0.2500 0.7185 (multiplicity 2)

Total moment   0.000 μB/atom
Crystal system   orthorhombic
Energy relative to the elements, uncorrected   0.079 eV per atom
DOS(E_F)   0.877 states/eV/atom
VASP energy   -3.0886 eV/atom

No. 3
K2CaAg: relaxed, PBE.

Unit cell a=11.0661 b=11.0661 c=6.3178 alpha=90.00 beta=90.00 gamma=90.00
Space group I-42d (No. 122)
One atom of each set of equivalent atoms:
K 0.1529 0.2500 0.1250 (multiplicity 8)
Ca 0.0000 0.0000 0.5000 (multiplicity 4)
Ag 0.0000 0.0000 0.0000 (multiplicity 4)

Total moment   0.000 μB/atom
Formation enthalpy at 0 K   0.175 eV/atom
Crystal system   tetragonal
DOS(E_F)   0.611 states/eV/atom
VASP energy   -1.5873 eV/atom
E above lowest polymorph   189 meV/atom

No. 4
Pr2FeSi3: relaxed, PBE.

Unit cell a=4.0984 b=4.0984 c=8.5493 alpha=90.00 beta=90.00 gamma=120.00
Space group P-6m2 (No. 187)
One atom of each set of equivalent atoms:
Pr 0.0000 0.0000 0.2468 (multiplicity 2)
Fe 0.3333 0.6667 0.0000 (multiplicity 1)
Si 0.3333 0.6667 0.5000 (multiplicity 1)
Si 0.6667 0.3333 0.0000 (multiplicity 1)
Si 0.6667 0.3333 0.5000 (multiplicity 1)

Total moment   0.390 μB/atom
Crystal system   hexagonal
Energy relative to the elements, uncorrected   -0.487 eV per atom
DOS(E_F)   0.925 states/eV/atom
VASP energy   -6.2025 eV/atom